Computed, not measured: an optimized crystal structure of CsMoNO2 at the GGA+U level of DFT.

Structure (POSCAR):
```
CsMoNO2
1.0
4.3879 0.0000 0.0000
0.0000 4.3879 0.0000
0.0000 0.0000 4.5053
Cs Mo O N
1 1 2 1
Direct
0.0000 0.0000 0.0000 Cs
0.5000 0.5000 0.5000 Mo
0.0000 0.5000 0.0000 O
0.5000 0.0000 0.0000 O
0.0000 0.0000 0.5000 N
```

Values from the calculation:
crystal system	tetragonal
E	-3.359	eV/atom
ρ	5.26	Mg/m³